Entry 1:
Here is a relaxed MoRuCl3 crystal from Alexandria via LeMat-Bulk. Energies are from PBE.

Cell lengths 4.8209, 4.8209, 4.8209 Å; angles 90.00, 90.00, 90.00 degrees
Atoms (fractional coordinates):
Mo1 0.0000 0.0000 0.0000
Ru1 0.5000 0.5000 0.5000
Cl1 0.0000 0.5000 0.5000
Cl2 0.5000 0.0000 0.5000
Cl3 0.5000 0.5000 0.0000

Symmetry: Pm-3m, No. 221
Total moment: 3.566 μB per cell
Uncorrected energy: -4.48 eV per atom
Excess energy over the best structure of this formula in the dataset: 0.00 kcal/mol of atoms
Formation energy without anion corrections: 14.9 kcal/mol of atoms
V: 112.0 Å³ per cell
DOS at the Fermi energy: 6.1 states/eV/f.u.
Calculated density: 4.5 Mg/m³

***

Entry 2:
Here is a relaxed MoRuCl3 crystal from Alexandria via LeMat-Bulk. Energies are from PBE.

Cell lengths 4.7679, 4.7679, 4.7679 Å; angles 90.00, 90.00, 90.00 degrees
Atoms (fractional coordinates):
Mo1 0.0000 0.0000 0.0000
Ru1 0.5000 0.5000 0.5000
Cl1 0.0000 0.0000 0.5000
Cl2 0.0000 0.5000 0.0000
Cl3 0.5000 0.0000 0.0000

Symmetry: Pm-3m, No. 221
Total moment: 0.001 μB per cell
Uncorrected energy: -4.18 eV per atom
Excess energy over the best structure of this formula in the dataset: 6.93 kcal/mol of atoms
Formation energy without anion corrections: 21.9 kcal/mol of atoms
V: 108.4 Å³ per cell
DOS at the Fermi energy: 19.3 states/eV/f.u.
Calculated density: 4.6 Mg/m³

***

Entry 3:
Here is a relaxed MoRu2Cl crystal from Alexandria via LeMat-Bulk. Energies are from PBE.

Cell lengths 8.6306, 8.6306, 8.6306 Å; angles 19.07, 19.07, 19.07 degrees
Atoms (fractional coordinates):
Mo1 0.0000 0.0000 0.0000
Ru1 0.2493 0.2493 0.2493
Ru2 0.7507 0.7507 0.7507
Cl1 0.5000 0.5000 0.5000

Symmetry: R-3m, No. 166
Total moment: 0.000 μB per cell
Uncorrected energy: -7.49 eV per atom
Excess energy over the best structure of this formula in the dataset: 0.64 kcal/mol of atoms
Formation energy without anion corrections: 7.3 kcal/mol of atoms
V: 60.0 Å³ per cell
DOS at the Fermi energy: 5.1 states/eV/f.u.
Calculated density: 9.2 Mg/m³